# 1
Ce3Pu2Si2 | Alexandria via LeMat-Bulk | GGA-PBE | optimized geometry; ρ = 10155 kg/m³; raw formation energy = -6.32 kcal/mol of atoms
1.0
-1.4687 1.7060 2.8019
-5.9380 -6.3674 0.7645
7.7299 0.8875 1.2062
Ce Pu Si
3 2 2
direct
0.0000 0.0000 0.0000
0.1766 0.7318 0.3533
0.8234 0.2682 0.6467
0.1857 0.4541 0.3715
0.8143 0.5459 0.6285
0.4774 0.2631 0.9548
0.5226 0.7369 0.0452

# 2
YC2F | Alexandria via LeMat-Bulk | GGA-PBE | optimized geometry; ρ = 4753 kg/m³; raw formation energy = -0.26 kcal/mol of atoms; distance to the lowest polymorph of the same formula = 0.000 eV/f.u.
1.0
-1.5357 2.5954 -0.5917
-2.6501 -1.5549 0.0575
-2.8896 2.2319 9.3084
Y C F
2 4 2
direct
0.0000 0.0000 0.0000
0.7500 0.2500 0.5000
0.3746 0.1250 0.2500
0.3754 0.6250 0.2500
0.3750 0.6254 0.7500
0.8750 0.6246 0.7500
0.5000 0.5000 0.0000
0.2500 0.7500 0.5000

# 3
Pr2Y7Th | Alexandria via LeMat-Bulk | GGA-PBE | optimized geometry; ρ = 5327 kg/m³; energy of formation = 0.44 eV per atom; distance to the lowest polymorph of the same formula = 2.770 eV/f.u.
1.0
3.5162 0.0000 0.0000
0.0000 9.9521 -2.6876
0.0000 -0.6254 10.2894
Pr Y Th
2 7 1
direct
0.5000 0.8306 0.1694
0.5000 0.1694 0.8306
0.0000 0.6709 0.3291
0.0000 0.3291 0.6709
0.5000 0.1338 0.3829
0.5000 0.8662 0.6171
0.5000 0.3829 0.1338
0.5000 0.6171 0.8662
0.5000 0.5000 0.5000
0.0000 0.0000 0.0000

# 4
MgS2O7 | Alexandria via LeMat-Bulk | GGA-PBE | optimized geometry; ρ = 2364 kg/m³; raw formation energy = -38.26 kcal/mol of atoms
1.0
4.9801 0.0389 -0.0012
-1.9152 6.7496 0.0182
-0.6824 -0.5588 8.3577
Mg S O
2 4 14
direct
0.0000 0.5000 0.0000
0.5000 0.0000 0.5000
0.4935 0.6407 0.7663
0.5065 0.3593 0.2337
0.1256 0.2457 0.6918
0.8744 0.7543 0.3082
0.7178 0.5557 0.8216
0.2822 0.4443 0.1784
0.3262 0.6814 0.8912
0.6738 0.3186 0.1088
0.5814 0.8021 0.6637
0.4186 0.1979 0.3363
0.2792 0.4721 0.6389
0.7208 0.5279 0.3611
0.8900 0.1900 0.5705
0.1100 0.8100 0.4295
0.3299 0.1331 0.6794
0.6701 0.8669 0.3206
0.0558 0.2692 0.8550
0.9442 0.7308 0.1450

# 5
NbNi4 | Alexandria via LeMat-Bulk | GGA-PBE | optimized geometry; ρ = 8914 kg/m³; energy of formation = -0.19 eV per atom; distance to the lowest polymorph of the same formula = 0.000 eV/f.u.
1.0
3.6943 0.0000 -1.0790
-0.5711 4.6968 -1.9553
0.0322 0.1169 6.9738
Nb Ni
2 8
direct
0.8877 0.1377 0.7755
0.1123 0.8623 0.2245
0.1034 0.3534 0.2069
0.8966 0.6466 0.7931
0.5000 0.0000 0.0000
0.5000 0.5000 0.0000
0.6948 0.2110 0.3896
0.3052 0.7890 0.6104
0.3052 0.3215 0.6104
0.6948 0.6785 0.3896

# 6
Ho8TlRu2 | Alexandria via LeMat-Bulk | GGA-PBE | optimized geometry; ρ = 9911 kg/m³; energy of formation = -0.23 eV per atom; distance to the lowest polymorph of the same formula = 0.059 eV/f.u.
1.0
5.0420 0.0673 -1.5105
-0.8977 6.2817 -2.7151
-0.0320 0.1235 9.0635
Ho Tl Ru
8 1 2
direct
0.6364 0.2810 0.9088
0.9673 0.0142 0.5712
0.3053 0.3516 0.2468
0.7462 0.9245 0.1288
0.3487 0.8555 0.3340
0.9240 0.4311 0.4844
0.1366 0.5526 0.9093
0.5267 0.7047 0.6897
0.1363 0.9841 0.9090
0.8082 0.6223 0.2528
0.4641 0.2785 0.5651

# 7
BaCd5Sb4 | Alexandria via LeMat-Bulk | GGA-PBE | optimized geometry; ρ = 6057 kg/m³; raw formation energy = -4.35 kcal/mol of atoms
1.0
4.5765 0.0000 -1.1662
-0.9867 7.5865 -3.8721
-0.0399 -0.0501 9.4059
Ba Cd Sb
1 5 4
direct
0.5000 0.0000 0.0000
0.8267 0.0233 0.6534
0.8267 0.6301 0.6534
0.1733 0.3699 0.3466
0.1733 0.9767 0.3466
0.5000 0.5000 0.0000
0.0000 0.7076 0.0000
0.2679 0.7679 0.5358
0.7321 0.2321 0.4642
0.0000 0.2924 0.0000

# 8
ErH3 | Alexandria via LeMat-Bulk | GGA-PBE | optimized geometry; ρ = 7797 kg/m³; distance to the lowest polymorph of the same formula = 0.035 eV/f.u.
1.0
3.5995 -0.0038 0.0000
-1.7955 3.1198 0.0000
0.0000 0.0000 6.4624
Er H
2 6
direct
0.3335 0.6665 0.2500
0.6665 0.3335 0.7500
0.9998 0.0002 0.7500
0.3331 0.6669 0.9065
0.3331 0.6669 0.5935
0.6669 0.3331 0.4065
0.6669 0.3331 0.0935
0.0002 0.9998 0.2500

Spin magnetization list, top to bottom, in μB per atom: 0.01, 0.00, 0.00, 0.00, 0.00, 0.00, 0.00, 0.00
Calculated total energy list, top to bottom, in eV/atom: -8.46, -6.71, -5.78, -6.11, -6.83, -5.46, -2.49, -4.28